Computed, not measured: an optimized crystal structure of CePrAlCd at the PBE-GGA level of DFT.

The density comes out at 6.4 g/cm³. The energy of formation from the pure elements is -232 meV per atom. For the volume, the calculation gives 27.31 Å³/atom. For the total magnetization, the calculation gives 0.20 μB/atom. The value obtained for the total energy is -4.074 eV per atom.

```
data_CePrAlCd
_chemical_formula_sum 'Ce4 Pr4 Al4 Cd4'
_cell_length_a 7.589
_cell_length_b 7.589
_cell_length_c 7.589
_cell_angle_alpha 90.00
_cell_angle_beta 90.00
_cell_angle_gamma 90.00
_space_group_name_H-M_alt 'F -4 3 m'
_space_group_IT_number 216
_space_group_name_Hall 'F -4 2 3'
loop_
_atom_site_label
_atom_site_fract_x
_atom_site_fract_y
_atom_site_fract_z
Ce1 0.000 0.000 0.000
Pr1 0.000 0.000 0.500
Al1 0.250 0.250 0.750
Cd1 0.250 0.250 0.250
```


Computed, not measured: an optimized crystal structure of CePuAlCd at the PBE-GGA level of DFT.

The density comes out at 8.4 g/cm³. The energy of formation from the pure elements is -74 meV per atom. For the volume, the calculation gives 25.85 Å³/atom. For the total magnetization, the calculation gives 1.75 μB/atom. The value obtained for the total energy is -6.305 eV per atom.

```
data_CePuAlCd
_chemical_formula_sum 'Ce4 Pu4 Al4 Cd4'
_cell_length_a 7.451
_cell_length_b 7.451
_cell_length_c 7.451
_cell_angle_alpha 90.00
_cell_angle_beta 90.00
_cell_angle_gamma 90.00
_space_group_name_H-M_alt 'F -4 3 m'
_space_group_IT_number 216
_space_group_name_Hall 'F -4 2 3'
loop_
_atom_site_label
_atom_site_fract_x
_atom_site_fract_y
_atom_site_fract_z
Ce1 0.000 0.000 0.000
Pu1 0.000 0.000 0.500
Al1 0.250 0.250 0.250
Cd1 0.250 0.250 0.750
```